# CePr2Ge3Rh4, relaxed, DFT PBE-GGA
# D(E_F) = 5.15 states/eV per cell
# SG = P-4m2 (115)
data_CePr2Ge3Rh4
_chemical_formula_sum 'Ce1 Pr2 Ge3 Rh4'
_cell_length_a 4.2836
_cell_length_b 4.2836
_cell_length_c 10.9393
_cell_angle_alpha 90.00
_cell_angle_beta 90.00
_cell_angle_gamma 90.00
_space_group_name_H-M_alt 'P 1'
_space_group_IT_number 1
loop_
_space_group_symop_operation_xyz
'x,y,z'
loop_
_atom_site_label
_atom_site_type_symbol
_atom_site_fract_x
_atom_site_fract_y
_atom_site_fract_z
Ce1 Ce 0.0000 0.0000 0.0000
Pr1 Pr 0.0000 0.5000 0.7252
Pr2 Pr 0.5000 0.0000 0.2748
Ge1 Ge 0.0000 0.5000 0.3773
Ge2 Ge 0.5000 0.0000 0.6227
Ge3 Ge 0.5000 0.5000 0.0000
Rh1 Rh 0.0000 0.0000 0.5000
Rh2 Rh 0.0000 0.5000 0.1496
Rh3 Rh 0.5000 0.0000 0.8504
Rh4 Rh 0.5000 0.5000 0.5000

***

# CaHf2Pd2, relaxed, DFT PBE-GGA
# D(E_F) = 9.39 states/eV per cell
# Energy above the most stable polymorph in this dataset = 28 kJ/mol of formula units
# SG = P4/mbm (127)
data_CaHf2Pd2
_chemical_formula_sum 'Ca2 Hf4 Pd4'
_cell_length_a 8.3342
_cell_length_b 8.3342
_cell_length_c 2.9532
_cell_angle_alpha 90.00
_cell_angle_beta 90.00
_cell_angle_gamma 90.00
_space_group_name_H-M_alt 'P 1'
_space_group_IT_number 1
loop_
_space_group_symop_operation_xyz
'x,y,z'
loop_
_atom_site_label
_atom_site_type_symbol
_atom_site_fract_x
_atom_site_fract_y
_atom_site_fract_z
Ca1 Ca 0.0000 0.0000 0.0000
Ca2 Ca 0.5000 0.5000 0.0000
Hf1 Hf 0.1344 0.3656 0.0000
Hf2 Hf 0.3656 0.8656 0.0000
Hf3 Hf 0.6344 0.1344 0.0000
Hf4 Hf 0.8656 0.6344 0.0000
Pd1 Pd 0.1620 0.6620 0.5000
Pd2 Pd 0.3380 0.1620 0.5000
Pd3 Pd 0.6620 0.8380 0.5000
Pd4 Pd 0.8380 0.3380 0.5000

***

Number 1: M_tot 0.00 μB/cell, volume 20.1 A^3/atom, energy relative to the elements -0.86 eV per atom. Number 2: M_tot 0.00 μB/cell, volume 20.5 A^3/atom, energy relative to the elements -0.38 eV per atom.